Computed, not measured: ErTmTa2Si2 after structural relaxation at the PBE level of DFT.

The crystal system is tetragonal. The calculation puts the total magnetic moment at 0.92 μB/f.u. For the total energy, the calculation gives -7.872 eV/atom.

The structure belongs to space group P4mm (No. 99); the cell edges are 3.9824, 3.9824 and 7.6538 Å and the angles 90.00°, 90.00° and 90.00°. Symmetry generates all atoms from Er at (0.0000, 0.0000, 0.0000), Tm at (0.5000, 0.5000, 0.2931), Ta at (0.0000, 0.5000, 0.6458), Si at (0.0000, 0.0000, 0.4018) and Si at (0.5000, 0.5000, 0.8897).